1.
A relaxed structure of Cs2RbO, computed with PBE-GGA.

Values from the calculation:
Space group: No. 166
Distance to the lowest polymorph of the same formula (meV/atom): 50.4
Raw total energy (eV/atom): -2.5856
ΔE_f (raw) (eV per atom): -0.677

Lattice parameters (Å, degrees): 4.4237 4.4237 38.1435 90.00 90.00 120.00
Closest atoms and distances in Å follow each position.
Fractional coordinates of all 12 atoms:
Cs (0.0000, 0.0000, 0.1281)  3 O 2.95
Cs (0.0000, 0.0000, 0.8719)  3 O 2.95
Cs (0.3333, 0.6667, 0.5386)  3 O 2.95
Cs (0.3333, 0.6667, 0.7947)  3 O 2.95
Cs (0.6667, 0.3333, 0.2053)  3 O 2.95
Cs (0.6667, 0.3333, 0.4614)  3 O 2.95
Rb (0.0000, 0.0000, 0.0000)  6 Rb 4.42, 2 Cs 4.88
Rb (0.3333, 0.6667, 0.6667)  6 Rb 4.42, 2 Cs 4.88
Rb (0.6667, 0.3333, 0.3333)  6 Rb 4.42, 2 Cs 4.88
O (0.0000, 0.0000, 0.5000)  6 Cs 2.95
O (0.3333, 0.6667, 0.1667)  6 Cs 2.95
O (0.6667, 0.3333, 0.8333)  6 Cs 2.95

***

2.
A relaxed structure of NiHgRh2, computed with PBE-GGA.

Values from the calculation:
Space group: No. 119
Raw total energy (eV/atom): -4.9822
Calculated formation energy (eV per atom): 0.214

Lattice parameters (Å, degrees): 3.9345 3.9345 7.7836 90.00 90.00 90.00
Closest atoms and distances in Å follow each position.
Fractional coordinates of all 8 atoms:
Ni (0.0000, 0.0000, 0.0000)  4 Hg 2.77, 8 Rh 2.77-2.78
Ni (0.5000, 0.5000, 0.5000)  4 Hg 2.77, 8 Rh 2.77-2.78
Hg (0.0000, 0.5000, 0.7500)  4 Ni 2.77, 8 Rh 2.77-2.78
Hg (0.5000, 0.0000, 0.2500)  4 Ni 2.77, 8 Rh 2.77-2.78
Rh (0.0000, 0.0000, 0.5000)  4 Hg 2.77, 4 Rh 2.77, 4 Ni 2.78
Rh (0.0000, 0.5000, 0.2500)  4 Ni 2.77, 4 Rh 2.77, 4 Hg 2.78
Rh (0.5000, 0.0000, 0.7500)  4 Ni 2.77, 4 Rh 2.77, 4 Hg 2.78
Rh (0.5000, 0.5000, 0.0000)  4 Hg 2.77, 4 Rh 2.77, 4 Ni 2.78